Compound: RbTl3Cu4Cl12
Source: the Alexandria database
Functional: PBE
Structure: optimized geometry

As for the uncorrected formation energy: -0.7589 eV/atom. For the spin magnetization, the calculation gives 0.00 μB/cell.

The space group is R32 (No. 155, hexagonal axes) and the conventional cell measures 14.5356, 14.5356 and 10.8265 Å, with angles of 90.00, 90.00 and 120.00 degrees. The asymmetric unit holds Rb at (0.0000, 0.0000, 0.0000), Tl at (0.0000, 0.5539, 0.0000), Cu at (0.0000, 0.0000, 0.5000), Cu at (0.0000, 0.4368, 0.5000), Cl at (0.0000, 0.5896, 0.5000), Cl at (0.0000, 0.8496, 0.5000) and Cl at (0.0283, 0.2013, 0.1938).